No. 1
The following is a PBE calculation of a relaxed Al2TcI8 crystal, from Alexandria via LeMat-Bulk.

Properties
formation energy without anion corrections	-403	meV/atom
SG	C2/m, No. 12
raw total energy	-34.68	eV per cell

Lattice parameters (Å, degrees): 8.7090 8.7090 6.9471 94.60 94.60 73.46
With the nearest neighbours (Å) after each atom.
Sites, in units of the cell vectors:
Al 0.1763 0.1763 0.1203  4 I 2.52-2.63
Al 0.8237 0.8237 0.8797  4 I 2.52-2.63
Tc 0.0000 0.0000 0.5000  6 I 2.76-2.77
I 0.1005 0.7364 0.7238  1 Al 2.61, 1 Tc 2.77
I 0.1699 0.1699 0.7411  1 Al 2.63, 1 Tc 2.76
I 0.2636 0.8995 0.2762  1 Al 2.61, 1 Tc 2.77
I 0.3548 0.3548 0.2225  1 Al 2.52
I 0.6452 0.6452 0.7775  1 Al 2.52
I 0.7364 0.1005 0.7238  1 Al 2.61, 1 Tc 2.77
I 0.8301 0.8301 0.2589  1 Al 2.63, 1 Tc 2.76
I 0.8995 0.2636 0.2762  1 Al 2.61, 1 Tc 2.77


No. 2
The following is a PBE calculation of a relaxed Tb5Bi4O crystal, from Alexandria via LeMat-Bulk.

Properties
formation energy without anion corrections	-1098	meV/atom
SG	I4, No. 79
raw total energy	-54.62	eV per cell

Lattice parameters (Å, degrees): 7.4899 7.4899 7.4899 100.27 100.27 130.05
With the nearest neighbours (Å) after each atom.
Sites, in units of the cell vectors:
Tb 0.0000 0.0000 0.0000  1 O 2.16
Tb 0.1379 0.3063 0.6337  1 O 2.77
Tb 0.3063 0.6726 0.1684  1 O 2.77
Tb 0.5042 0.1379 0.8316  1 O 2.77
Tb 0.6726 0.5042 0.3663  1 O 2.77
Bi 0.2096 0.9896 0.3915  6 Tb 3.11-3.20
Bi 0.5981 0.8181 0.6085  6 Tb 3.11-3.20
Bi 0.8181 0.2096 0.2200  6 Tb 3.11-3.20
Bi 0.9896 0.5981 0.7800  6 Tb 3.11-3.20
O 0.3414 0.3414 0.0000  1 Tb 2.16


No. 3
The following is a PBE calculation of a relaxed Pm2C2F crystal, from Alexandria via LeMat-Bulk.

Properties
formation energy without anion corrections	-1249	meV/atom
SG	C2/c, No. 15
raw total energy	-72.13	eV per cell

Lattice parameters (Å, degrees): 7.0009 7.0009 6.5553 107.95 107.95 36.10
With the nearest neighbours (Å) after each atom.
Sites, in units of the cell vectors:
Pm 0.0341 0.6804 0.8905  4 C 2.38-2.66, 2 F 2.56
Pm 0.3196 0.9659 0.6095  4 C 2.38-2.66, 2 F 2.56
Pm 0.6804 0.0341 0.3905  4 C 2.38-2.66, 2 F 2.56
Pm 0.9659 0.3196 0.1095  4 C 2.38-2.66, 2 F 2.56
C 0.1542 0.4033 0.4862  1 C 1.38
C 0.4033 0.1542 0.9862  1 C 1.38
C 0.5967 0.8458 0.0138  1 C 1.38
C 0.8458 0.5967 0.5138  1 C 1.38
F 0.0476 0.9524 0.2500  4 Pm 2.56
F 0.9524 0.0476 0.7500  4 Pm 2.56